Record 1
{"formula": "Ca2NbInSn", "functional": "PBE", "state": "optimized geometry", "delta_e_f_ev_per_atom": 0.848, "cell": [[5.863, 0.000, 0.000], [0.000, 5.504, 0.000], [0.000, 0.000, 5.863]], "species": ["Ca", "Nb", "Ca", "Sn", "In"], "fractional_positions": [[0.500, 0.000, 0.000], [0.500, 0.500, 0.500], [0.000, 0.000, 0.500], [0.000, 0.000, 0.000], [0.000, 0.500, 0.000]]}


Record 2
{"formula": "Ca2NbVIn", "functional": "PBE", "state": "optimized geometry", "delta_e_f_ev_per_atom": 1.252, "cell": [[-3.247, 4.344, 2.030], [-2.214, -3.196, 3.298], [4.083, 1.219, 3.921]], "species": ["V", "In", "Ca", "Nb", "Ca"], "fractional_positions": [[0.000, 0.500, 0.000], [0.000, 0.000, 0.000], [0.000, 0.000, 0.500], [0.500, 0.500, 0.500], [0.500, 0.000, 0.000]]}